Entry 1:
First-principles (PBE-GGA) data for a relaxed structure of Li4In15Hg, as listed in Alexandria via LeMat-Bulk.

Lattice parameters (Å, degrees): 4.552 4.552 23.528 90.00 90.00 90.00
Atoms (fractional coordinates):
In 0.500 0.000 0.696
In 0.000 0.500 0.500
In 0.500 0.500 0.000
Li 0.000 0.000 0.210
In 0.500 0.000 0.500
In 0.000 0.500 0.696
In 0.500 0.500 0.207
In 0.500 0.500 0.598
In 0.500 0.000 0.107
Li 0.000 0.000 0.600
In 0.500 0.500 0.402
In 0.000 0.500 0.107
Li 0.000 0.000 0.400
Li 0.000 0.000 0.790
In 0.000 0.500 0.304
In 0.000 0.500 0.893
Hg 0.000 0.000 0.000
In 0.500 0.000 0.304
In 0.500 0.000 0.893
In 0.500 0.500 0.793

For the total magnetic moment, the calculation gives 0.000 μB/atom. The value obtained for the formation energy is -0.10 eV/atom. Its space group is P4/mmm (123). The total DFT energy (no corrections) is -51.0 eV for the cell shown. Its volume is 487.5 Å³/cell.

Entry 2:
First-principles (PBE-GGA) data for a relaxed structure of CdAgMo2, as listed in Alexandria via LeMat-Bulk.

Lattice parameters (Å, degrees): 2.810 2.810 9.451 90.00 90.00 109.85
Atoms (fractional coordinates):
Mo 0.000 0.000 0.019
Mo 0.500 0.500 0.236
Ag 0.000 0.000 0.491
Cd 0.500 0.500 0.754

For the total magnetic moment, the calculation gives 0.000 μB/atom. The value obtained for the formation energy is 0.25 eV/atom. Its space group is Cmm2 (35). The total DFT energy (no corrections) is -24.4 eV for the cell shown. Its volume is 70.2 Å³/cell.

Entry 3:
First-principles (PBE-GGA) data for a relaxed structure of CuTc, as listed in Alexandria via LeMat-Bulk.

Lattice parameters (Å, degrees): 2.662 2.662 7.542 90.00 90.00 90.00
Atoms (fractional coordinates):
Cu 0.750 0.750 0.386
Tc 0.750 0.750 0.868
Cu 0.250 0.250 0.614
Tc 0.250 0.250 0.132

For the total magnetic moment, the calculation gives 0.000 μB/atom. The value obtained for the formation energy is 0.19 eV/atom. Its space group is P4/nmm (129). For the energy above the lowest structure with this stoichiometry, the calculation gives 0.20 eV/f.u. The total DFT energy (no corrections) is -28.1 eV for the cell shown. Its volume is 53.4 Å³/cell.

Entry 4:
First-principles (PBE-GGA) data for a relaxed structure of Al6In7, as listed in Alexandria via LeMat-Bulk.

Lattice parameters (Å, degrees): 9.984 9.984 9.984 36.82 36.82 36.82
Atoms (fractional coordinates):
Al 0.335 0.335 0.335
Al 0.152 0.152 0.152
Al 0.848 0.848 0.848
In 0.073 0.588 0.588
Al 0.951 0.951 0.951
In 0.588 0.073 0.588
In 0.412 0.412 0.927
In 0.500 0.500 0.500
In 0.588 0.588 0.073
In 0.412 0.927 0.412
Al 0.665 0.665 0.665
In 0.927 0.412 0.412
Al 0.049 0.049 0.049

For the total magnetic moment, the calculation gives 0.000 μB/atom. The value obtained for the formation energy is 0.34 eV/atom. Its space group is R-3m (166). The total DFT energy (no corrections) is -37.3 eV for the cell shown. Its volume is 320.1 Å³/cell.

Entry 5:
First-principles (PBE-GGA) data for a relaxed structure of CaAc2Sb4Rh3, as listed in Alexandria via LeMat-Bulk.

Lattice parameters (Å, degrees): 4.633 4.633 11.677 90.00 90.00 90.00
Atoms (fractional coordinates):
Rh 0.000 0.000 0.500
Rh 0.500 0.000 0.887
Sb 0.000 0.000 0.000
Sb 0.000 0.500 0.342
Ca 0.500 0.500 0.500
Rh 0.000 0.500 0.113
Sb 0.500 0.500 0.000
Ac 0.000 0.500 0.769
Ac 0.500 0.000 0.231
Sb 0.500 0.000 0.658

For the total magnetic moment, the calculation gives 0.000 μB/atom. Its space group is P-4m2 (115). The total DFT energy (no corrections) is -57.0 eV for the cell shown. Its volume is 250.7 Å³/cell.

Entry 6:
First-principles (PBE-GGA) data for a relaxed structure of PuZrUOs, as listed in Alexandria via LeMat-Bulk.

Lattice parameters (Å, degrees): 4.818 4.818 4.818 60.00 60.00 60.00
Atoms (fractional coordinates):
Zr 0.500 0.500 0.500
U 0.000 0.000 0.000
Os 0.250 0.250 0.250
Pu 0.750 0.750 0.750

For the total magnetic moment, the calculation gives 1.692 μB/atom. The value obtained for the formation energy is 0.00 eV/atom. Its space group is F-43m (216). The total DFT energy (no corrections) is -45.4 eV for the cell shown. Its volume is 79.1 Å³/cell.